The following is a DFT calculation (PBE) of crystalline InSbTe5Pb2 at its relaxed geometry.

Structure (POSCAR):
```
InSbTe5Pb2
1.0
4.427 0.000 0.000
-2.214 9.764 0.000
0.000 0.000 14.426
Te In Pb Sb
10 2 4 2
direct
0.283 0.565 0.684 Te
0.490 0.979 0.766 Te
0.510 0.021 0.266 Te
0.360 0.721 0.006 Te
0.043 0.086 0.058 Te
0.640 0.279 0.506 Te
0.717 0.435 0.184 Te
0.957 0.914 0.558 Te
0.301 0.602 0.384 Te
0.699 0.398 0.884 Te
0.557 0.114 0.935 In
0.443 0.886 0.435 In
0.883 0.766 0.157 Pb
0.117 0.234 0.657 Pb
0.126 0.253 0.305 Pb
0.874 0.747 0.805 Pb
0.789 0.579 0.530 Sb
0.211 0.421 0.030 Sb
```

## Properties
Formation energy without anion corrections   -0.27 eV per atom



The following is a DFT calculation (PBE) of crystalline TmPd4Pt5 at its relaxed geometry.

Structure (POSCAR):
```
TmPd4Pt5
1.0
-4.118 2.261 0.233
-1.686 -2.161 -8.821
-3.663 -6.920 2.395
Pt Pd Tm
10 8 2
direct
0.252 0.762 0.329 Pt
0.748 0.262 0.829 Pt
0.592 0.500 0.000 Pt
0.748 0.738 0.171 Pt
0.252 0.762 0.671 Pt
0.408 0.000 0.500 Pt
0.748 0.738 0.829 Pt
0.252 0.238 0.671 Pt
0.252 0.238 0.329 Pt
0.748 0.262 0.171 Pt
0.243 0.247 0.000 Pd
0.112 0.500 0.186 Pd
0.757 0.747 0.500 Pd
0.888 0.000 0.314 Pd
0.243 0.753 0.000 Pd
0.112 0.500 0.814 Pd
0.888 0.000 0.686 Pd
0.757 0.253 0.500 Pd
0.389 0.500 0.500 Tm
0.611 0.000 0.000 Tm
```

## Properties
Energy of formation   -2.85 eV per formula unit
Density of states at the Fermi level   12.6 states/eV/f.u.



The following is a DFT calculation (PBE) of crystalline Hg2WSe at its relaxed geometry.

Structure (POSCAR):
```
Hg2WSe
1.0
-1.486 3.862 -1.444
-2.832 -1.480 -1.042
-3.749 0.229 4.471
Se Hg W
1 2 1
direct
0.000 0.674 0.525 Se
0.000 0.955 0.967 Hg
0.500 0.305 0.263 Hg
0.500 0.566 0.744 W
```

## Properties
Formation energy without anion corrections   0.56 eV per atom
Density of states at the Fermi level   2.2 states/eV/f.u.



The following is a DFT calculation (PBE) of crystalline Ho3AlTl2 at its relaxed geometry.

Structure (POSCAR):
```
Ho3AlTl2
1.0
3.610 0.000 0.000
0.000 3.610 0.000
0.000 0.000 11.867
Ho Tl Al
3 2 1
direct
0.000 0.000 0.653 Ho
0.000 0.000 0.347 Ho
0.000 0.000 0.000 Ho
0.500 0.500 0.829 Tl
0.500 0.500 0.171 Tl
0.500 0.500 0.500 Al
```

## Properties
Energy of formation   -2.07 eV per formula unit
Density of states at the Fermi level   2.9 states/eV/f.u.



The following is a DFT calculation (PBE) of crystalline KAs2Ir at its relaxed geometry.

Structure (POSCAR):
```
KAs2Ir
1.0
6.132 0.002 -0.004
2.351 5.663 0.004
-3.086 -4.562 2.695
Ir K As
1 1 2
direct
0.750 0.250 0.500 Ir
0.250 0.750 0.500 K
0.941 0.941 0.000 As
0.559 0.559 0.000 As
```

## Properties
Energy of formation   -0.30 eV per formula unit
Polymorph energy (0 for the lowest one)   232.8 meV/atom
Density of states at the Fermi level   1.2 states/eV/f.u.



Quick rundown of E, same order as above: -3.606 -5.830 -3.704 -4.047 -4.889 eV per atom
Quick rundown of total magnetization, same order as above: 0.0 0.0 0.0 0.0 0.0 μB per cell